Density functional theory data (PBE with a Hubbard U) for a relaxed structure of SrV2AuO.

Calculated values
- N(E_F): 2.8 states/eV/f.u.
- Size of the total moment: 1.489 μB/atom
- Mass density: 3.1 g/cm3
- E_tot: -2.911 eV/atom

CIF file:
```
data_SrV2AuO
_cell_length_a 6.190
_cell_length_b 6.190
_cell_length_c 5.613
_cell_angle_alpha 90.00
_cell_angle_beta 90.00
_cell_angle_gamma 90.00
_space_group_name_H-M_alt 'P 4/m m m'
_space_group_IT_number 123
_space_group_name_Hall '-P 4 2'
loop_
_atom_site_label
_atom_site_type_symbol
_atom_site_fract_x
_atom_site_fract_y
_atom_site_fract_z
_atom_site_occupancy
Sr1 Sr 0.000 0.000 0.000 1
V1 V 0.000 0.500 0.000 1
Au1 Au 0.000 0.000 0.500 1
O1 O 0.500 0.500 0.500 1
```